(1)
VASP calculation (PBE+U) on crystalline Na2CrAsO4 at its relaxed geometry.

symmetry	I-4 (82)
V	225.0	Å³ per cell
crystal system	tetragonal
final energy	-5.71	eV/atom

Unit cell a=5.820 b=5.820 c=6.641 alpha=90.00 beta=90.00 gamma=90.00
Positions (direct):
Na: 0.000 0.000 0.000
Na: 0.000 0.500 0.250
Na: 0.500 0.000 0.750
Na: 0.500 0.500 0.500
Cr: 0.000 0.000 0.500
Cr: 0.500 0.500 0.000
As: 0.000 0.500 0.750
As: 0.500 0.000 0.250
O: 0.163 0.302 0.586
O: 0.198 0.663 0.914
O: 0.302 0.837 0.414
O: 0.337 0.198 0.086
O: 0.663 0.802 0.086
O: 0.698 0.163 0.414
O: 0.802 0.337 0.914
O: 0.837 0.698 0.586

=====

(2)
VASP calculation (PBE+U) on crystalline NaCrAs2O6 at its relaxed geometry.

symmetry	P1 (1)
V	127.3	Å³ per cell
crystal system	triclinic
final energy	-6.25	eV/atom

Unit cell a=5.119 b=5.123 c=6.335 alpha=90.08 beta=113.78 gamma=119.97
Positions (direct):
Na: 0.000 0.000 0.000
Cr: 0.058 0.529 0.587
As: 0.427 0.213 0.641
As: 0.509 0.754 0.264
O: 0.242 0.308 0.782
O: 0.277 0.454 0.396
O: 0.474 0.934 0.782
O: 0.573 0.119 0.397
O: 0.848 0.540 0.782
O: 0.942 0.822 0.397

=====

(3)
VASP calculation (PBE+U) on crystalline Na2CrAs2O7 at its relaxed geometry.

symmetry	R32 (155)
V	194.5	Å³ per cell
crystal system	trigonal
final energy	-5.90	eV/atom

Unit cell a=7.958 b=7.958 c=7.958 alpha=40.84 beta=40.84 gamma=40.84
Positions (direct):
Na: 0.234 0.234 0.234
Na: 0.766 0.766 0.766
Cr: 0.500 0.500 0.500
As: 0.083 0.083 0.083
As: 0.917 0.917 0.917
O: 0.000 0.000 0.000
O: 0.201 0.343 0.776
O: 0.224 0.657 0.799
O: 0.343 0.776 0.201
O: 0.657 0.799 0.224
O: 0.776 0.201 0.343
O: 0.799 0.224 0.657

=====

(4)
VASP calculation (PBE+U) on crystalline NaCr2AsO6 at its relaxed geometry.

symmetry	R3 (146)
V	106.4	Å³ per cell
crystal system	trigonal
final energy	-6.74	eV/atom

Unit cell a=5.536 b=5.536 c=5.536 alpha=55.14 beta=55.14 gamma=55.14
Positions (direct):
Na: 0.000 0.000 0.000
Cr: 0.209 0.209 0.209
Cr: 0.716 0.716 0.716
As: 0.521 0.521 0.521
O: 0.141 0.447 0.782
O: 0.353 0.906 0.569
O: 0.447 0.782 0.141
O: 0.569 0.353 0.906
O: 0.782 0.141 0.447
O: 0.906 0.569 0.353

=====

Q: Which of these has the highest final energy?
A: Na2CrAsO4